1.
The following is a PBE-GGA calculation of crystalline K3Er2MgSe6 at its relaxed geometry, from the Alexandria database.

POSCAR file:
```
K3Er2MgSe6
1.0
7.1272 -0.0015 0.0001
-3.5631 6.1726 0.0001
-1.1885 -2.0579 7.7460
Er Se K Mg
2 6 3 1
Cartesian
3.5634 2.0568 0.0001
0.0007 4.1144 0.0001
2.3487 -0.0007 1.5643
0.0268 4.1140 6.1819
-1.1744 2.0340 1.5643
2.3891 4.1366 1.5660
-0.0135 -0.0234 6.1801
3.5500 2.0792 6.1819
4.7466 0.0013 3.8731
1.1878 2.0566 3.8731
-2.3711 4.1120 3.8731
0.0000 0.0000 0.0000
```

Results
SG   C2/m (12)
Calculated volume   341 Å³/f.u.
Total DFT energy (no corrections)   -0.3221 Ry/atom

2.
The following is a PBE-GGA calculation of crystalline HfInOs3 at its relaxed geometry, from the Alexandria database.

POSCAR file:
```
HfInOs3
1.0
-2.9867 3.6202 0.6536
-3.1143 -2.9364 2.0328
1.9581 0.8517 4.2301
Os In Hf
3 1 1
Cartesian
-1.5572 -1.4682 1.0164
-1.4934 1.8101 0.3268
0.9790 0.4259 2.1151
0.0000 0.0000 0.0000
-2.0715 0.7677 3.4583
```

Results
SG   Pm-3m (221)
Calculated volume   106 Å³/f.u.
Distance to the lowest polymorph of the same formula   0.481 eV/f.u.
Total DFT energy (no corrections)   -0.5205 Ry/atom

3.
The following is a PBE-GGA calculation of crystalline TcBr2O at its relaxed geometry, from the Alexandria database.

POSCAR file:
```
TcBr2O
1.0
-2.0473 2.7036 1.7949
-1.5313 -2.6101 2.1846
6.9271 0.7921 2.6158
Br Tc O
2 1 1
Cartesian
2.0644 0.6555 5.4772
1.2568 0.1836 1.1571
-1.0376 1.3281 0.9174
5.1239 0.8152 4.6254
```

Results
SG   Immm (71)
Calculated volume   100 Å³/f.u.
Distance to the lowest polymorph of the same formula   0.000 eV/f.u.
Total DFT energy (no corrections)   -0.3986 Ry/atom

4.
The following is a PBE-GGA calculation of crystalline TlCr2Cl at its relaxed geometry, from the Alexandria database.

POSCAR file:
```
TlCr2Cl
1.0
-1.2585 0.2819 2.9702
0.0396 -3.2218 0.3225
7.0136 0.3799 2.9355
Cr Tl Cl
2 1 1
Cartesian
3.5680 0.1933 1.4934
6.9523 0.3766 2.9099
1.1439 -1.3750 2.3802
4.6507 -1.1850 3.8480
```

Results
SG   P4/mmm (123)
Calculated volume   80 Å³/f.u.
Distance to the lowest polymorph of the same formula   1.263 eV/f.u.
Total DFT energy (no corrections)   -0.3982 Ry/atom

5.
The following is a PBE-GGA calculation of crystalline In2MoPt at its relaxed geometry, from the Alexandria database.

POSCAR file:
```
In2MoPt
1.0
2.9732 0.0000 0.0000
0.0000 2.9732 0.0000
0.0000 0.0000 8.8038
In Pt Mo
2 1 1
Cartesian
0.0000 0.0000 8.5164
1.4866 1.4866 2.5123
1.4866 1.4866 6.3479
0.0000 0.0000 4.6329
```

Results
SG   P4mm (99)
Calculated volume   78 Å³/f.u.
Distance to the lowest polymorph of the same formula   0.163 eV/f.u.
Total DFT energy (no corrections)   -0.4088 Ry/atom

6.
The following is a PBE-GGA calculation of crystalline GdPuInAg at its relaxed geometry, from the Alexandria database.

POSCAR file:
```
GdPuInAg
1.0
5.3002 0.0000 0.0000
2.6501 4.5901 0.0000
2.6501 1.5300 4.3276
Ag Pu In Gd
1 1 1 1
Cartesian
2.6501 1.5300 1.0819
0.0000 0.0000 0.0000
7.9502 4.5901 3.2457
5.3002 3.0601 2.1638
```

Results
SG   F-43m (216)
Calculated volume   105 Å³/f.u.
Total DFT energy (no corrections)   -0.6362 Ry/atom

7.
The following is a PBE-GGA calculation of crystalline AgS2N2 at its relaxed geometry, from the Alexandria database.

POSCAR file:
```
AgS2N2
1.0
5.0225 0.0000 0.0000
0.0000 5.0225 0.0000
0.0000 0.0000 4.1095
S Ag N
2 1 2
Cartesian
0.0000 2.5113 0.0000
2.5113 0.0000 0.0000
0.0000 0.0000 0.0000
2.5113 2.5113 2.0548
0.0000 0.0000 2.0548
```

Results
SG   P4/mmm (123)
Calculated volume   104 Å³/f.u.
Distance to the lowest polymorph of the same formula   5.520 eV/f.u.
Total DFT energy (no corrections)   -0.2259 Ry/atom

8.
The following is a PBE-GGA calculation of crystalline AgAu2 at its relaxed geometry, from the Alexandria database.

POSCAR file:
```
AgAu2
1.0
-3.5201 2.6073 1.0177
-2.9565 1.1335 -3.1936
-4.1463 -1.7407 0.0542
Au Ag
2 1
Cartesian
-2.6557 0.5000 -0.5304
-7.9672 1.5001 -1.5913
0.0000 0.0000 0.0000
```

Results
SG   Fm-3m (225)
Calculated volume   64 Å³/f.u.
Distance to the lowest polymorph of the same formula   0.860 eV/f.u.
Total DFT energy (no corrections)   -0.2124 Ry/atom

9.
The following is a PBE-GGA calculation of crystalline Mn2MoP at its relaxed geometry, from the Alexandria database.

POSCAR file:
```
Mn2MoP
1.0
-2.0390 -1.1169 1.6448
-0.7037 -1.7980 -2.0934
3.9634 -4.0610 2.1557
Mn Mo P
2 1 1
Cartesian
3.8719 -3.9672 2.1059
-0.4638 -2.3874 0.2693
2.0179 -2.0676 1.0975
1.7397 -4.6452 1.4678
```

Results
SG   P4mm (99)
Calculated volume   49 Å³/f.u.
Total DFT energy (no corrections)   -0.6440 Ry/atom

10.
The following is a PBE-GGA calculation of crystalline LiTmSiPt at its relaxed geometry, from the Alexandria database.

POSCAR file:
```
LiTmSiPt
1.0
4.5223 0.0000 0.0000
2.2612 3.9164 0.0000
2.2612 1.3055 3.6925
Si Li Tm Pt
1 1 1 1
Cartesian
0.0000 0.0000 0.0000
2.2612 1.3055 0.9231
4.5223 2.6110 1.8462
6.7835 3.9164 2.7693
```

Results
SG   F-43m (216)
Calculated volume   65 Å³/f.u.
Total DFT energy (no corrections)   -0.3901 Ry/atom